# HfTl

A relaxed HfTl crystal (PBE, Alexandria via LeMat-Bulk).

Lattice parameters (Å, degrees): 5.851 5.851 5.851 90.00 90.00 90.00
Space group Fm-3m (No. 225)
Asymmetric unit:
Hf 0.000 0.000 0.000 [4 per cell]
Tl 0.000 0.000 0.500 [4 per cell]

- electronic total energy (eV per cell) = -45.52



# Pm4PuAu5

A relaxed Pm4PuAu5 crystal (PBE, Alexandria via LeMat-Bulk).

Lattice parameters (Å, degrees): 3.676 3.676 18.447 90.00 90.00 90.00
Space group P4/mmm (No. 123)
Asymmetric unit:
Pm 0.000 0.000 0.101 [2 per cell]
Pm 0.000 0.000 0.302 [2 per cell]
Pu 0.000 0.000 0.500 [1 per cell]
Au 0.500 0.500 0.000 [1 per cell]
Au 0.500 0.500 0.201 [2 per cell]
Au 0.500 0.500 0.399 [2 per cell]

- electronic total energy (eV per cell) = -56.77



# Tm2SnPd4

A relaxed Tm2SnPd4 crystal (PBE, Alexandria via LeMat-Bulk).

Lattice parameters (Å, degrees): 7.854 4.926 7.515 90.00 95.85 90.00
Space group C2/m (No. 12)
Asymmetric unit:
Tm 0.212 0.000 0.290 [4 per cell]
Sn 0.000 0.500 0.000 [2 per cell]
Pd 0.083 0.500 0.358 [4 per cell]
Pd 0.146 0.000 0.892 [4 per cell]

- electronic total energy (eV per cell) = -77.87
- polymorph energy (0 for the lowest one) (meV/atom) = 0.0



# MgZrSc2B

A relaxed MgZrSc2B crystal (PBE, Alexandria via LeMat-Bulk).

Lattice parameters (Å, degrees): 4.752 4.752 4.671 90.00 90.00 90.00
Space group P4/mmm (No. 123)
Asymmetric unit:
Mg 0.000 0.000 0.000 [1 per cell]
Zr 0.500 0.500 0.000 [1 per cell]
Sc 0.000 0.500 0.500 [2 per cell]
B 0.500 0.500 0.500 [1 per cell]

- electronic total energy (eV per cell) = -30.06



# AcHo8Tm2

A relaxed AcHo8Tm2 crystal (PBE, Alexandria via LeMat-Bulk).

Lattice parameters (Å, degrees): 19.337 6.971 5.452 90.00 93.05 90.00
Space group C2/m (No. 12)
Asymmetric unit:
Ac 0.000 0.000 0.000 [2 per cell]
Ho 0.048 0.500 0.240 [4 per cell]
Ho 0.137 0.269 0.730 [8 per cell]
Ho 0.191 0.000 0.235 [4 per cell]
Tm 0.215 0.500 0.246 [4 per cell]

- electronic total energy (eV per cell) = -96.57



# CaTi3S

A relaxed CaTi3S crystal (PBE, Alexandria via LeMat-Bulk).

Lattice parameters (Å, degrees): 4.770 4.770 4.770 90.00 90.00 90.00
Space group Pm-3m (No. 221)
Asymmetric unit:
Ca 0.000 0.000 0.000 [1 per cell]
Ti 0.000 0.000 0.500 [3 per cell]
S 0.500 0.500 0.500 [1 per cell]

- formation energy without anion corrections (eV per atom) = 1.8015
- electronic total energy (eV per cell) = -20.81
- polymorph energy (0 for the lowest one) (meV/atom) = 2076.3